a | Entry from Alexandria via LeMat-Bulk: crystalline Li8Mn7FeB8O24 at its relaxed geometry (GGA+U).

Summary:
Its total magnetization is 37.0 Bohr magnetons per cell.

abc: 5.989 8.274 10.486
angles: 90.73 90.91 102.86
Sites, in units of the cell vectors:
Li 0.000 0.000 0.000
Li 0.002 0.002 0.500
Li 0.088 0.443 0.844
Li 0.090 0.447 0.344
Li 0.497 0.502 0.749
Li 0.501 0.502 0.249
Li 0.585 0.942 0.093
Li 0.588 0.946 0.595
Mn 0.216 0.140 0.761
Mn 0.226 0.145 0.259
Mn 0.363 0.803 0.336
Mn 0.722 0.643 0.007
Mn 0.726 0.645 0.510
Mn 0.861 0.302 0.086
Mn 0.866 0.303 0.584
Fe 0.363 0.809 0.834
B 0.209 0.627 0.082
B 0.212 0.630 0.587
B 0.375 0.318 0.008
B 0.379 0.319 0.510
B 0.709 0.124 0.835
B 0.711 0.128 0.335
B 0.876 0.818 0.258
B 0.878 0.818 0.759
O 0.026 0.534 0.009
O 0.032 0.538 0.511
O 0.058 0.910 0.333
O 0.059 0.908 0.835
O 0.200 0.205 0.066
O 0.205 0.206 0.568
O 0.219 0.603 0.717
O 0.222 0.602 0.212
O 0.368 0.345 0.879
O 0.369 0.348 0.380
O 0.383 0.738 0.021
O 0.387 0.743 0.529
O 0.520 0.037 0.762
O 0.531 0.037 0.260
O 0.557 0.409 0.084
O 0.562 0.411 0.584
O 0.700 0.706 0.815
O 0.702 0.705 0.317
O 0.717 0.099 0.964
O 0.719 0.099 0.465
O 0.866 0.845 0.129
O 0.870 0.849 0.630
O 0.887 0.242 0.279
O 0.890 0.230 0.775



b | Entry from Alexandria via LeMat-Bulk: crystalline Li8Mn7FeB8O24 at its relaxed geometry (GGA+U).

Summary:
Its total magnetization is 33.0 Bohr magnetons per cell.

abc: 5.989 9.166 9.727
angles: 82.10 78.61 76.05
Sites, in units of the cell vectors:
Li 0.000 0.000 0.000
Li 0.096 0.623 0.256
Li 0.250 0.502 0.750
Li 0.347 0.124 0.005
Li 0.495 0.002 0.501
Li 0.600 0.626 0.755
Li 0.749 0.499 0.251
Li 0.854 0.123 0.506
Mn 0.189 0.192 0.738
Mn 0.419 0.438 0.019
Mn 0.433 0.690 0.485
Mn 0.664 0.937 0.770
Mn 0.682 0.187 0.236
Mn 0.920 0.434 0.522
Mn 0.927 0.688 0.988
Fe 0.165 0.934 0.273
B 0.154 0.272 0.262
B 0.194 0.853 0.743
B 0.398 0.775 0.016
B 0.449 0.351 0.493
B 0.654 0.274 0.762
B 0.693 0.851 0.243
B 0.902 0.775 0.512
B 0.947 0.351 0.991
O 0.025 0.208 0.947
O 0.038 0.155 0.315
O 0.066 0.466 0.936
O 0.071 0.414 0.308
O 0.098 0.748 0.404
O 0.251 0.381 0.598
O 0.278 0.710 0.698
O 0.281 0.660 0.071
O 0.309 0.969 0.690
O 0.319 0.918 0.061
O 0.350 0.245 0.155
O 0.497 0.883 0.349
O 0.526 0.163 0.814
O 0.530 0.208 0.449
O 0.567 0.466 0.439
O 0.575 0.417 0.805
O 0.593 0.745 0.909
O 0.752 0.381 0.098
O 0.772 0.707 0.202
O 0.788 0.659 0.568
O 0.813 0.964 0.185
O 0.820 0.918 0.557
O 0.857 0.240 0.661
O 0.997 0.879 0.849



c | Entry from Alexandria via LeMat-Bulk: crystalline Li8Mn7FeB8O24 at its relaxed geometry (GGA+U).

Summary:
Its total magnetization is 31.0 Bohr magnetons per cell.

abc: 5.239 9.102 11.494
angles: 68.21 77.76 89.67
Sites, in units of the cell vectors:
Li 0.000 0.000 0.000
Li 0.027 0.042 0.248
Li 0.275 0.245 0.496
Li 0.319 0.279 0.747
Li 0.499 0.495 0.006
Li 0.529 0.535 0.254
Li 0.770 0.743 0.500
Li 0.817 0.776 0.750
Mn 0.019 0.344 0.968
Mn 0.052 0.719 0.219
Mn 0.322 0.631 0.715
Mn 0.523 0.843 0.966
Mn 0.554 0.210 0.217
Mn 0.787 0.430 0.464
Mn 0.822 0.131 0.713
Fe 0.265 0.927 0.465
B 0.030 0.677 0.960
B 0.062 0.388 0.214
B 0.280 0.600 0.459
B 0.327 0.971 0.706
B 0.527 0.176 0.962
B 0.560 0.891 0.208
B 0.773 0.097 0.455
B 0.829 0.472 0.706
O 0.034 0.631 0.430
O 0.058 0.434 0.751
O 0.117 0.789 0.003
O 0.195 0.862 0.676
O 0.203 0.572 0.929
O 0.229 0.117 0.690
O 0.275 0.175 0.944
O 0.331 0.405 0.200
O 0.387 0.988 0.249
O 0.400 0.470 0.447
O 0.400 0.704 0.499
O 0.465 0.768 0.179
O 0.530 0.125 0.421
O 0.558 0.933 0.750
O 0.614 0.282 0.010
O 0.699 0.073 0.927
O 0.702 0.364 0.672
O 0.727 0.616 0.693
O 0.776 0.671 0.945
O 0.827 0.916 0.194
O 0.887 0.198 0.499
O 0.897 0.487 0.258
O 0.898 0.968 0.443
O 0.956 0.273 0.181



Which of them is most stable, and which least? Most stable: a; least stable: c.



a | Entry from Alexandria via LeMat-Bulk: crystalline Li8Mn7FeB8O24 at its relaxed geometry (GGA+U).

Summary:
Its total magnetization is 35.0 Bohr magnetons per cell.

abc: 7.903 8.019 8.264
angles: 80.94 79.85 82.45
Sites, in units of the cell vectors:
Li 0.000 0.000 0.000
Li 0.000 0.499 0.501
Li 0.111 0.800 0.445
Li 0.113 0.300 0.943
Li 0.500 0.496 0.996
Li 0.503 0.002 0.504
Li 0.611 0.300 0.445
Li 0.611 0.800 0.941
Mn 0.129 0.646 0.143
Mn 0.132 0.147 0.644
Mn 0.484 0.653 0.299
Mn 0.627 0.145 0.140
Mn 0.629 0.646 0.641
Mn 0.982 0.154 0.302
Mn 0.983 0.654 0.802
Fe 0.484 0.149 0.803
B 0.303 0.319 0.317
B 0.305 0.823 0.820
B 0.307 0.980 0.125
B 0.311 0.478 0.626
B 0.800 0.317 0.814
B 0.802 0.821 0.317
B 0.809 0.479 0.125
B 0.809 0.981 0.629
O 0.138 0.305 0.408
O 0.138 0.806 0.908
O 0.174 0.105 0.099
O 0.175 0.602 0.600
O 0.279 0.834 0.239
O 0.286 0.331 0.739
O 0.333 0.464 0.202
O 0.338 0.972 0.712
O 0.437 0.194 0.345
O 0.437 0.695 0.844
O 0.472 0.996 0.031
O 0.475 0.497 0.533
O 0.632 0.297 0.901
O 0.636 0.806 0.408
O 0.675 0.106 0.603
O 0.676 0.604 0.095
O 0.778 0.334 0.238
O 0.780 0.834 0.740
O 0.830 0.464 0.704
O 0.832 0.965 0.203
O 0.935 0.195 0.845
O 0.936 0.695 0.346
O 0.975 0.996 0.537
O 0.976 0.495 0.036



b | Entry from Alexandria via LeMat-Bulk: crystalline Li8Mn7FeB8O24 at its relaxed geometry (GGA+U).

Summary:
Its total magnetization is 7.0 Bohr magnetons per cell.

abc: 5.237 9.117 11.451
angles: 67.99 77.39 89.57
Sites, in units of the cell vectors:
Li 0.000 0.000 0.000
Li 0.020 0.038 0.256
Li 0.261 0.245 0.510
Li 0.311 0.278 0.752
Li 0.493 0.504 0.005
Li 0.522 0.541 0.256
Li 0.764 0.743 0.504
Li 0.806 0.777 0.758
Mn 0.018 0.344 0.971
Mn 0.267 0.928 0.473
Mn 0.315 0.630 0.722
Mn 0.513 0.850 0.972
Mn 0.547 0.218 0.223
Mn 0.779 0.428 0.471
Mn 0.806 0.128 0.723
Fe 0.042 0.720 0.220
B 0.021 0.680 0.965
B 0.058 0.392 0.217
B 0.270 0.599 0.463
B 0.313 0.969 0.718
B 0.527 0.181 0.962
B 0.555 0.891 0.212
B 0.763 0.097 0.467
B 0.825 0.472 0.711
O 0.028 0.633 0.431
O 0.055 0.434 0.754
O 0.117 0.788 0.008
O 0.187 0.572 0.934
O 0.187 0.860 0.686
O 0.210 0.113 0.703
O 0.272 0.174 0.949
O 0.326 0.415 0.200
O 0.388 0.990 0.254
O 0.390 0.469 0.451
O 0.391 0.699 0.506
O 0.453 0.775 0.179
O 0.520 0.130 0.435
O 0.544 0.933 0.762
O 0.613 0.290 0.006
O 0.699 0.363 0.677
O 0.701 0.078 0.927
O 0.721 0.615 0.700
O 0.765 0.678 0.952
O 0.825 0.910 0.199
O 0.881 0.194 0.514
O 0.885 0.969 0.451
O 0.891 0.490 0.263
O 0.956 0.273 0.187



Which of them is most stable, and which least? Most stable: a; least stable: b.



a | Entry from Alexandria via LeMat-Bulk: crystalline Li8Mn7FeB8O24 at its relaxed geometry (GGA+U).

Summary:
Its total magnetization is 19.0 Bohr magnetons per cell.

abc: 5.251 8.219 11.841
angles: 101.97 91.00 90.51
Sites, in units of the cell vectors:
Li 0.000 0.000 0.000
Li 0.000 0.011 0.496
Li 0.184 0.960 0.284
Li 0.188 0.951 0.789
Li 0.497 0.510 0.243
Li 0.498 0.507 0.746
Li 0.685 0.453 0.039
Li 0.687 0.452 0.540
Mn 0.013 0.654 0.352
Mn 0.168 0.308 0.931
Mn 0.172 0.314 0.430
Mn 0.522 0.151 0.607
Mn 0.524 0.151 0.106
Mn 0.658 0.813 0.178
Mn 0.667 0.811 0.675
Fe 0.007 0.646 0.856
B 0.017 0.325 0.185
B 0.018 0.327 0.686
B 0.165 0.638 0.097
B 0.166 0.638 0.600
B 0.512 0.831 0.429
B 0.514 0.819 0.936
B 0.670 0.133 0.852
B 0.671 0.139 0.352
O 0.014 0.547 0.509
O 0.015 0.542 0.009
O 0.051 0.755 0.183
O 0.053 0.752 0.687
O 0.131 0.208 0.100
O 0.138 0.214 0.600
O 0.166 0.421 0.777
O 0.168 0.420 0.274
O 0.253 0.855 0.426
O 0.256 0.844 0.928
O 0.424 0.608 0.102
O 0.425 0.608 0.604
O 0.521 0.048 0.758
O 0.522 0.052 0.258
O 0.552 0.240 0.943
O 0.553 0.246 0.443
O 0.629 0.722 0.338
O 0.638 0.711 0.848
O 0.659 0.911 0.028
O 0.662 0.918 0.521
O 0.759 0.353 0.682
O 0.759 0.356 0.181
O 0.928 0.105 0.857
O 0.929 0.113 0.356



b | Entry from Alexandria via LeMat-Bulk: crystalline Li8Mn7FeB8O24 at its relaxed geometry (GGA+U).

Summary:
Its total magnetization is 39.0 Bohr magnetons per cell.

abc: 5.243 9.090 10.512
angles: 88.30 88.93 89.68
Sites, in units of the cell vectors:
Li 0.000 0.000 0.000
Li 0.015 0.994 0.501
Li 0.326 0.342 0.250
Li 0.367 0.329 0.751
Li 0.498 0.501 0.002
Li 0.515 0.493 0.501
Li 0.823 0.843 0.252
Li 0.866 0.829 0.752
Mn 0.009 0.667 0.467
Mn 0.010 0.334 0.966
Mn 0.357 0.667 0.717
Mn 0.509 0.164 0.465
Mn 0.509 0.835 0.969
Mn 0.837 0.507 0.217
Mn 0.856 0.167 0.716
Fe 0.332 0.010 0.216
B 0.007 0.335 0.458
B 0.015 0.667 0.960
B 0.334 0.671 0.211
B 0.352 0.997 0.709
B 0.505 0.836 0.458
B 0.515 0.168 0.960
B 0.838 0.167 0.208
B 0.852 0.497 0.709
O 0.002 0.379 0.752
O 0.081 0.685 0.253
O 0.092 0.982 0.694
O 0.268 0.347 0.443
O 0.274 0.651 0.928
O 0.349 0.957 0.426
O 0.371 0.048 0.003
O 0.396 0.704 0.503
O 0.404 0.305 0.944
O 0.442 0.533 0.195
O 0.466 0.133 0.678
O 0.478 0.797 0.181
O 0.501 0.879 0.753
O 0.584 0.179 0.249
O 0.592 0.482 0.693
O 0.767 0.849 0.444
O 0.775 0.150 0.928
O 0.852 0.457 0.428
O 0.872 0.546 0.004
O 0.896 0.204 0.502
O 0.902 0.804 0.945
O 0.951 0.030 0.194
O 0.967 0.633 0.678
O 0.980 0.294 0.179



Which of them is most stable, and which least? Most stable: b; least stable: a.